# MgZr2Al GGA-PBEsol optimized geometry
# Formation energy in meV/atom: -141
# Mass density in Mg/m³: 4.8
# Total energy in eV/atom: -6.138
data_MgZr2Al
_chemical_formula_sum 'Mg2 Zr4 Al2'
_space_group_name_H-M_alt 'I m m 2'
_space_group_IT_number 44
_space_group_name_Hall 'I 2 -2'
_cell_length_a 3.2156
_cell_length_b 5.0280
_cell_length_c 9.9675
_cell_angle_alpha 90.00
_cell_angle_beta 90.00
_cell_angle_gamma 90.00
loop_
_atom_site_label
_atom_site_fract_x
_atom_site_fract_y
_atom_site_fract_z
Mg1 0.0000 0.0000 0.0000
Zr1 0.0000 0.0000 0.5257
Zr2 0.0000 0.5000 0.7661
Al1 0.0000 0.5000 0.2733